a) Entry from Alexandria: a relaxed CoPBr2 crystal (GGA-PBE).

Cell: 8.103 8.103 8.103 Å, 156.26 154.45 35.15°
Sites, in units of the cell vectors:
Co (0.000, 0.000, 0.000)
P (0.500, 0.500, 0.000)
Br (0.139, 0.639, 0.500)
Br (0.861, 0.361, 0.500)

Calculated values
Its space group is Immm, No. 71. The volume comes out at 92.29 Å³ per cell.

b) Entry from Alexandria: a relaxed CoPBr2 crystal (GGA-PBE).

Cell: 4.736 4.736 3.848 Å, 90.00 90.00 95.63°
Sites, in units of the cell vectors:
Co (0.000, 0.000, 0.000)
P (0.500, 0.500, 0.000)
Br (0.229, 0.771, 0.500)
Br (0.771, 0.229, 0.500)

Calculated values
Its space group is Cmmm, No. 65. The volume comes out at 85.89 Å³ per cell.

a) ends up most stable, edging out the next structure by 43.2 kJ/mol of atoms.

a) Entry from Alexandria: a relaxed BaLaCl2 crystal (GGA-PBE).

Cell: 5.600 5.600 5.600 Å, 60.00 60.00 60.00°
Sites, in units of the cell vectors:
Ba (0.000, 0.000, 0.000)
La (0.750, 0.750, 0.750)
Cl (0.250, 0.250, 0.250)
Cl (0.500, 0.500, 0.500)

Calculated values
Its space group is F-43m, No. 216. The volume comes out at 124.18 Å³ per cell.

b) Entry from Alexandria: a relaxed BaLaCl2 crystal (GGA-PBE).

Cell: 4.115 4.115 9.734 Å, 90.00 90.00 125.01°
Sites, in units of the cell vectors:
Ba (0.000, 0.000, 0.000)
La (0.000, 0.000, 0.500)
Cl (0.500, 0.500, 0.264)
Cl (0.500, 0.500, 0.736)

Calculated values
Its space group is Cmmm, No. 65. The volume comes out at 135.02 Å³ per cell.

b) ends up most stable, edging out the next structure by 80.0 kJ/mol of atoms.

a) Entry from Alexandria: a relaxed B2C crystal (GGA-PBE).

Cell: 3.764 2.673 9.027 Å, 90.00 99.69 90.00°
Sites, in units of the cell vectors:
B (0.000, 0.000, 0.000)
B (0.018, 0.000, 0.765)
B (0.166, 0.500, 0.486)
B (0.361, 0.500, 0.764)
B (0.459, 0.500, 0.210)
B (0.504, 0.500, 0.963)
B (0.626, 0.000, 0.864)
B (0.661, 0.000, 0.314)
C (0.189, 0.500, 0.063)
C (0.523, 0.500, 0.603)
C (0.749, 0.000, 0.602)
C (0.947, 0.000, 0.456)

Calculated values
Its space group is Pm, No. 6. The volume comes out at 89.55 Å³ per cell.

b) Entry from Alexandria: a relaxed B2C crystal (GGA-PBE).

Cell: 2.611 2.671 12.637 Å, 90.00 90.00 90.00°
Sites, in units of the cell vectors:
B (0.250, 0.000, 0.047)
B (0.250, 0.000, 0.394)
B (0.250, 0.000, 0.719)
B (0.250, 0.500, 0.153)
B (0.750, 0.000, 0.281)
B (0.750, 0.000, 0.606)
B (0.750, 0.000, 0.953)
B (0.750, 0.500, 0.847)
C (0.250, 0.500, 0.466)
C (0.250, 0.500, 0.782)
C (0.750, 0.500, 0.218)
C (0.750, 0.500, 0.534)

Calculated values
Its space group is Pmma, No. 51. The volume comes out at 88.13 Å³ per cell.

a) ends up most stable, edging out the next structure by 0.9 kJ/mol of atoms.